A plane-wave DFT calculation with PBE was carried out for La2Tl2Rh3 after structural relaxation.

Output
Symmetry: C2/m (12)
Fermi-level density of states (states/eV per atom): 0.485
Energy of formation from the pure elements (kJ per mole of atoms): -39.55

Unit cell a=8.4526 b=8.4526 c=12.2488 alpha=123.59 beta=123.59 gamma=27.52
Last column: nearest neighbours and their distance in Å.
Positions (direct):
La (0.1103, 0.1103, 0.3546)  4 Rh 2.83-2.99
La (0.1211, 0.1211, 0.0266)  5 Rh 2.76-2.97
La (0.8789, 0.8789, 0.9734)  5 Rh 2.76-2.97
La (0.8897, 0.8897, 0.6454)  4 Rh 2.83-2.99
Tl (0.2288, 0.2288, 0.6840)  4 Rh 2.83-2.87
Tl (0.4083, 0.4083, 0.2589)  4 Rh 2.83-2.93
Tl (0.5917, 0.5917, 0.7411)  4 Rh 2.83-2.93
Tl (0.7712, 0.7712, 0.3160)  4 Rh 2.83-2.87
Rh (0.2248, 0.2248, 0.9118)  2 Rh 2.71, 3 La 2.76-2.97, 3 Tl 2.83
Rh (0.4039, 0.4039, 0.4945)  2 La 2.83, 4 Tl 2.83-2.93, 1 Rh 3.08
Rh (0.4413, 0.4413, 0.8560)  1 Tl 2.87, 1 Rh 2.90, 6 La 2.97-3.18
Rh (0.5587, 0.5587, 0.1440)  1 Tl 2.87, 1 Rh 2.90, 6 La 2.97-3.18
Rh (0.5961, 0.5961, 0.5055)  2 La 2.83, 4 Tl 2.83-2.93, 1 Rh 3.08
Rh (0.7752, 0.7752, 0.0882)  2 Rh 2.71, 3 La 2.76-2.97, 3 Tl 2.83